First-principles (PBE) data for a relaxed structure of Sm8Zn2Ir, as listed in the Alexandria database.

Results
formation enthalpy at 0 K	-0.25	eV per atom
total magnetization	0.00	μB/cell
DOS(E_F)	0.8520	states/eV per atom

Cell lengths 5.179, 6.806, 9.343 Å; angles 101.46, 106.09, 90.00 degrees
Positions (direct):
Sm 0.411 0.566 0.823
Sm 0.657 0.960 0.314
Sm 0.798 0.680 0.596
Sm 0.972 0.217 0.943
Sm 0.202 0.320 0.404
Sm 0.343 0.040 0.686
Sm 0.589 0.434 0.177
Sm 0.028 0.783 0.057
Zn 0.807 0.258 0.613
Zn 0.193 0.742 0.387
Ir 0.500 0.000 0.000